A relaxed NaTa3In2 crystal, computed with PBE.

Lattice parameters (Å, degrees): 5.5436 5.5436 5.0894 90.00 90.00 120.00
Last column: nearest neighbours and their distance in Å.
Element x y z (fractional)
In 0.3333 0.6667 0.4995  6 Ta 3.00-3.01, 3 Na 3.20, 3 In 3.20
In 0.6667 0.3333 0.5005  6 Ta 3.00-3.01, 3 Na 3.20, 3 In 3.20
Ta 0.5000 0.0000 0.0000  4 Ta 2.77, 4 In 3.00-3.01
Ta 0.0000 0.5000 0.0000  4 Ta 2.77, 4 In 3.00-3.01
Ta 0.5000 0.5000 0.0000  4 Ta 2.77, 4 In 3.00-3.01
Na 0.0000 0.0000 0.5000  6 In 3.20

## Properties
The total DFT energy (no corrections) comes out at -39.3 eV/f.u. Its total moment is 0.00 μB per formula unit. As for the space-group type: No. 191.